# ReAgBr2

A relaxed structure of ReAgBr2 (GGA-PBE, Alexandria via LeMat-Bulk).

The uncorrected formation energy comes out at 1.0880 eV per atom. Its crystal system is tetragonal. The space group is I-4m2. For the energy above the most stable polymorph in this dataset, the calculation gives 649.8 meV per atom. The total magnetic moment comes out at 3.91 μB/cell.

Cell lengths 6.9155, 6.9155, 6.9155 Å; angles 147.28, 147.28, 46.94 degrees
Last column: nearest neighbours and their distance in Å.
Sites, in units of the cell vectors:
Re (0.5000, 0.5000, 0.0000)  4 Br 2.75
Br (0.0000, 0.0000, 0.0000)  4 Re 2.75
Br (0.2500, 0.7500, 0.5000)  4 Ag 2.75
Ag (0.7500, 0.2500, 0.5000)  4 Br 2.75